The following is a GGA-PBE calculation of a relaxed structure of CsK2RbHg, from Alexandria via LeMat-Bulk.

abc: 7.0356 7.0356 7.2393
angles: 90.00 90.00 90.00
Element x y z (fractional)
Cs (0.0000, 0.0000, 0.0000)
K (0.0000, 0.5000, 0.5000)
K (0.5000, 0.0000, 0.5000)
Rb (0.5000, 0.5000, 0.0000)
Hg (0.5000, 0.5000, 0.5000)

Computed properties:
Energy above the lowest structure with this stoichiometry = 0 meV per atom
Density of states at the Fermi level = 3.5 states/eV/f.u.
Formation energy = -81.8 meV per atom